(A)
Entry from Alexandria: a geometry-optimized CdHAu structure (PBE).

abc: 5.3829 5.5832 6.0931
angles: 90.00 90.00 90.00
Positions (direct):
Cd1 0.2500 0.6666 0.5338
Cd2 0.2500 0.8334 0.0338
Cd3 0.7500 0.3334 0.5338
Cd4 0.7500 0.1666 0.0338
H1 0.7500 0.8929 0.6987
H2 0.2500 0.1071 0.6987
H3 0.7500 0.6071 0.1987
H4 0.2500 0.3929 0.1987
Au1 0.7500 0.8448 0.3995
Au2 0.7500 0.6552 0.8995
Au3 0.2500 0.3448 0.8995
Au4 0.2500 0.1552 0.3995

**V**: 15.260 A^3/atom
**Total magnetic moment**: 0.00 μB/f.u.
**Space group**: Ima2

---

(B)
Entry from Alexandria: a geometry-optimized CdHAu structure (PBE).

abc: 5.4279 4.2511 9.3468
angles: 90.00 102.43 90.00
Positions (direct):
H1 0.1447 0.0000 0.7625
H2 0.3036 0.5000 0.9302
H3 0.3036 0.0000 0.4302
H4 0.1447 0.5000 0.2625
Au1 0.1845 0.5000 0.0881
Au2 0.6542 0.0000 0.5013
Au3 0.1845 0.0000 0.5881
Au4 0.6542 0.5000 0.0013
Cd1 0.5462 0.5000 0.6907
Cd2 0.9032 0.5000 0.3929
Cd3 0.5462 0.0000 0.1907
Cd4 0.9032 0.0000 0.8929

**V**: 17.552 A^3/atom
**Total magnetic moment**: 0.00 μB/f.u.
**Space group**: Cm

---

How do the structures above rank in stability at the extremes? (A) comes first and (B) comes last.